# 1
PrNdHgRu, optimized geometry, DFT PBE; relative energy among the computed polymorphs = 1.83 kcal/mol of atoms; mass density = 9.7 g cm⁻³; Fermi-level density of states = 0.8339 states/eV/atom; formation enthalpy at 0 K = -21.9 kJ per mole of atoms
1.0
0.000 3.687 3.687
3.687 0.000 3.687
3.687 3.687 0.000
Pr Nd Hg Ru
1 1 1 1
Cartesian
0.000 0.000 0.000 Pr
3.687 3.687 3.687 Nd
1.843 1.843 1.843 Hg
5.530 5.530 5.530 Ru


# 2
PrNdHgRu, optimized geometry, DFT PBE; relative energy among the computed polymorphs = 0.00 kcal/mol of atoms; mass density = 9.6 g cm⁻³; Fermi-level density of states = 0.9780 states/eV/atom; formation enthalpy at 0 K = -29.5 kJ per mole of atoms
1.0
3.596 0.000 0.000
0.000 3.596 0.000
0.000 0.000 7.838
Pr Nd Hg Ru
1 1 1 1
Cartesian
0.000 0.000 0.000 Pr
0.000 0.000 4.388 Nd
1.798 1.798 2.220 Hg
1.798 1.798 6.092 Ru


# 3
PrNdSiHg, optimized geometry, DFT PBE; energy relative to the elements, uncorrected = -0.461 eV per atom; mass density = 8.1 g cm⁻³; Fermi-level density of states = 0.7846 states/eV/atom
1.0
0.000 3.749 3.749
3.749 0.000 3.749
3.749 3.749 0.000
Pr Nd Si Hg
1 1 1 1
Cartesian
0.000 0.000 0.000 Pr
3.749 3.749 3.749 Nd
1.874 1.874 1.874 Si
5.623 5.623 5.623 Hg


# 4
Pr2NdSn2Hg2, optimized geometry, DFT PBE; mass density = 8.6 g cm⁻³; Fermi-level density of states = 0.7410 states/eV/atom; formation enthalpy at 0 K = -35.9 kJ per mole of atoms
1.0
2.509 1.448 9.412
-2.509 1.448 9.412
0.000 -2.897 9.412
Pr Nd Sn Hg
2 1 2 2
Cartesian
0.000 0.000 3.686 Pr
0.000 0.000 24.549 Pr
0.000 0.000 0.000 Nd
0.000 0.000 7.681 Sn
0.000 0.000 20.555 Sn
0.000 0.000 12.014 Hg
0.000 0.000 16.222 Hg


# 5
PrNdSnHg, optimized geometry, DFT PBE; relative energy among the computed polymorphs = 0.00 kcal/mol of atoms; mass density = 8.7 g cm⁻³; Fermi-level density of states = 0.9526 states/eV/atom; formation enthalpy at 0 K = -58.4 kJ per mole of atoms
1.0
0.000 3.868 3.868
3.868 0.000 3.868
3.868 3.868 0.000
Pr Nd Sn Hg
1 1 1 1
Cartesian
0.000 0.000 0.000 Pr
3.868 3.868 3.868 Nd
5.802 5.802 5.802 Sn
1.934 1.934 1.934 Hg


# 6
PrNdSnHg, optimized geometry, DFT PBE; relative energy among the computed polymorphs = 0.61 kcal/mol of atoms; mass density = 8.7 g cm⁻³; Fermi-level density of states = 0.9214 states/eV/atom; formation enthalpy at 0 K = -55.8 kJ per mole of atoms
1.0
3.887 0.000 0.000
0.000 3.887 0.000
0.000 0.000 7.678
Pr Nd Sn Hg
1 1 1 1
Cartesian
0.000 0.000 0.000 Pr
0.000 0.000 3.777 Nd
1.943 1.943 5.709 Sn
1.943 1.943 1.917 Hg


- What is the Fermi-level density of states in the fourth record?
  0.7410 states/eV/atom


- Among the records above, which one has the lowest Fermi-level density of states?
  Pr2NdSn2Hg2


- What is the Fermi-level density of states in the first record?
  0.8339 states/eV/atom


- Which value of mass density does entry 5 give?
  8.7 g cm⁻³